# 1
CePmHo2Se4: relaxed, PBE.

**Uncorrected formation energy**: -1.785 eV per atom
**Size of the total moment**: 0.128 μB/atom
**Symmetry**: P2/m (10)

a b c (Å): 4.0802 7.2540 7.1013
angles (deg): 71.14 90.00 90.00
Closest atoms and distances in Å follow each position.
Fractional positions:
Pm  0.0000  0.5000  0.5000  6 Se 2.97
Ho  0.0000  0.0000  0.0000  6 Se 2.87
Ho  0.5000  0.0000  0.5000  6 Se 2.86-2.87
Se  0.5000  0.2368  0.7544  3 Ho 2.87, 1 Ce 2.97, 2 Pm 2.97
Se  0.0000  0.7635  0.7452  3 Ho 2.86-2.87, 1 Pm 2.97, 2 Ce 2.98
Se  0.5000  0.7632  0.2456  3 Ho 2.87, 1 Ce 2.97, 2 Pm 2.97
Se  0.0000  0.2365  0.2548  3 Ho 2.86-2.87, 1 Pm 2.97, 2 Ce 2.98
Ce  0.5000  0.5000  0.0000  6 Se 2.97-2.98


# 2
GeTeI: relaxed, PBE.

**Uncorrected formation energy**: -0.117 eV per atom
**Size of the total moment**: 0.000 μB/atom
**Symmetry**: P-1 (2)

a b c (Å): 7.1916 8.7294 11.4589
angles (deg): 119.42 139.09 35.27
Closest atoms and distances in Å follow each position.
Fractional positions:
I  0.2694  0.7800  0.0442  1 Ge 2.62
I  0.3816  0.6231  0.3892  1 Ge 2.62
Ge  0.3502  0.5314  0.5571  1 I 2.62, 3 Te 2.70-2.78
Ge  0.3006  0.8716  0.8760  1 I 2.62, 3 Te 2.70-2.79
Te  0.0496  0.3461  0.9339  3 Ge 2.70-2.79
Te  0.6011  0.0571  0.4993  3 Ge 2.70-2.78


# 3
CeDySi2: relaxed, PBE.

**Uncorrected formation energy**: -0.455 eV per atom
**Size of the total moment**: 0.000 μB/atom
**Symmetry**: R-3m (166)

a b c (Å): 4.2004 4.2004 7.0431
angles (deg): 72.65 72.65 60.00
Closest atoms and distances in Å follow each position.
Fractional positions:
Si  0.2491  0.2491  0.2526  3 Ce 2.93, 3 Dy 2.94
Si  0.7509  0.7509  0.7474  3 Ce 2.93, 3 Dy 2.94
Ce  0.5000  0.5000  0.5000  6 Si 2.93
Dy  0.0000  0.0000  0.0000  6 Si 2.94


no.,raw total energy (eV per formula unit)
1,-48.06
2,-9.66
3,-23.20